No. 1
A geometry-optimized Sn2HgSe2 structure, computed with PBE-GGA.

Calculated values
ρ	7.4	g/cm3
calculated total energy	-15.9	eV/f.u.
magnetic moment	0.0	μB/f.u.
E above lowest polymorph	135	meV per atom
DOS at the Fermi energy	1.303	states/eV/f.u.
formation energy (no corrections)	-0.122	eV/atom

```
data_Sn2HgSe2
_chemical_formula_sum 'Sn4 Hg2 Se4'
_space_group_name_H-M_alt 'P 4/m b m'
_space_group_IT_number 127
_space_group_name_Hall '-P 4 2ab'
_cell_length_a 8.3286
_cell_length_b 8.3286
_cell_length_c 3.8413
_cell_angle_alpha 90.00
_cell_angle_beta 90.00
_cell_angle_gamma 90.00
loop_
_atom_site_label
_atom_site_type_symbol
_atom_site_fract_x
_atom_site_fract_y
_atom_site_fract_z
Sn1 Sn 0.1553 0.3447 0.0000
Hg1 Hg 0.0000 0.0000 0.5000
Se1 Se 0.1506 0.6506 0.5000
```

---

No. 2
A geometry-optimized NaDy2Sc3S6 structure, computed with PBE-GGA.

Calculated values
ρ	4.8	g/cm3
calculated total energy	-76.8	eV/f.u.
magnetic moment	0.0	μB/f.u.
DOS at the Fermi energy	4.126	states/eV/f.u.
formation energy (no corrections)	-1.875	eV/atom

```
data_NaDy2Sc3S6
_chemical_formula_sum 'Na2 Dy4 Sc6 S12'
_space_group_name_H-M_alt 'C 1 2/m 1'
_space_group_IT_number 12
_space_group_name_Hall '-C 2y'
_cell_length_a 16.6378
_cell_length_b 3.7813
_cell_length_c 7.6677
_cell_angle_alpha 90.00
_cell_angle_beta 103.93
_cell_angle_gamma 90.00
loop_
_atom_site_label
_atom_site_type_symbol
_atom_site_fract_x
_atom_site_fract_y
_atom_site_fract_z
Na1 Na 0.0000 0.0000 0.0000
Dy1 Dy 0.1669 0.5000 0.3365
Sc1 Sc 0.0000 0.0000 0.5000
Sc2 Sc 0.1643 0.5000 0.8219
S1 S 0.0026 0.5000 0.7386
S2 S 0.1625 0.0000 0.5901
S3 S 0.1714 0.0000 0.0729
```

---

No. 3
A geometry-optimized ScHg2Mo structure, computed with PBE-GGA.

Calculated values
ρ	11.5	g/cm3
calculated total energy	-17.2	eV/f.u.
magnetic moment	1.0	μB/f.u.
E above lowest polymorph	31	meV per atom
DOS at the Fermi energy	3.360	states/eV/f.u.
formation energy from the elements	0.152	eV per atom

```
data_ScHg2Mo
_chemical_formula_sum 'Sc2 Hg4 Mo2'
_space_group_name_H-M_alt 'I 4/m m m'
_space_group_IT_number 139
_space_group_name_Hall '-I 4 2'
_cell_length_a 4.2605
_cell_length_b 4.2605
_cell_length_c 8.5916
_cell_angle_alpha 90.00
_cell_angle_beta 90.00
_cell_angle_gamma 90.00
loop_
_atom_site_label
_atom_site_type_symbol
_atom_site_fract_x
_atom_site_fract_y
_atom_site_fract_z
Sc1 Sc 0.0000 0.0000 0.0000
Hg1 Hg 0.0000 0.5000 0.2500
Mo1 Mo 0.0000 0.0000 0.5000
```

---

No. 4
A geometry-optimized InGePb2 structure, computed with PBE-GGA.

Calculated values
ρ	8.3	g/cm3
calculated total energy	-14.1	eV/f.u.
magnetic moment	0.0	μB/f.u.
DOS at the Fermi energy	1.737	states/eV/f.u.
formation energy from the elements	0.179	eV per atom

```
data_InGePb2
_chemical_formula_sum 'In3 Ge3 Pb6'
_space_group_name_H-M_alt 'R 3 m'
_space_group_IT_number 160
_space_group_name_Hall 'R 3 -2"'
_cell_length_a 4.5686
_cell_length_b 4.5686
_cell_length_c 20.0968
_cell_angle_alpha 90.00
_cell_angle_beta 90.00
_cell_angle_gamma 120.00
loop_
_atom_site_label
_atom_site_type_symbol
_atom_site_fract_x
_atom_site_fract_y
_atom_site_fract_z
In1 In 0.0000 0.0000 0.0000
Ge1 Ge 0.0000 0.0000 0.1648
Pb1 Pb 0.0000 0.0000 0.5723
Pb2 Pb 0.0000 0.0000 0.7602
```

---

No. 5
A geometry-optimized KSe structure, computed with PBE-GGA.

Calculated values
ρ	2.8	g/cm3
calculated total energy	-6.3	eV/f.u.
magnetic moment	0.0	μB/f.u.
DOS at the Fermi energy	1.151	states/eV/f.u.
formation energy (no corrections)	-0.857	eV/atom

```
data_KSe
_chemical_formula_sum 'K2 Se2'
_space_group_name_H-M_alt 'P 1 21/m 1'
_space_group_IT_number 11
_space_group_name_Hall '-P 2yb'
_cell_length_a 5.0790
_cell_length_b 5.2453
_cell_length_c 5.8562
_cell_angle_alpha 90.00
_cell_angle_beta 115.66
_cell_angle_gamma 90.00
loop_
_atom_site_label
_atom_site_type_symbol
_atom_site_fract_x
_atom_site_fract_y
_atom_site_fract_z
K1 K 0.1421 0.2500 0.2852
Se1 Se 0.4591 0.2500 0.9186
```

---

No. 6
A geometry-optimized Re2RuRh8 structure, computed with PBE-GGA.

Calculated values
ρ	11.8	g/cm3
calculated total energy	-87.3	eV/f.u.
magnetic moment	0.0	μB/f.u.
DOS at the Fermi energy	13.676	states/eV/f.u.
formation energy from the elements	0.520	eV per atom

```
data_Re2RuRh8
_chemical_formula_sum 'Re4 Ru2 Rh16'
_space_group_name_H-M_alt 'C 1 2/m 1'
_space_group_IT_number 12
_space_group_name_Hall '-C 2y'
_cell_length_a 10.1857
_cell_length_b 8.2078
_cell_length_c 4.4922
_cell_angle_alpha 90.00
_cell_angle_beta 103.37
_cell_angle_gamma 90.00
loop_
_atom_site_label
_atom_site_type_symbol
_atom_site_fract_x
_atom_site_fract_y
_atom_site_fract_z
Re1 Re 0.1482 0.0000 0.0494
Ru1 Ru 0.0000 0.0000 0.5000
Rh1 Rh 0.0887 0.5000 0.8015
Rh2 Rh 0.0911 0.2585 0.2658
Rh3 Rh 0.2453 0.5000 0.3914
```